(1)
ZnPtAu4: optimized geometry, GGA-PBE.

extended XYZ file:
```
6
Lattice="0.000 3.835 3.835 3.835 0.000 3.835 3.835 3.835 0.000" Properties=species:S:1:pos:R:3 pbc="T T T"
Au 4.793 2.876 4.793
Pt 5.752 5.752 5.752
Zn 0.000 0.000 0.000
Au 2.876 4.793 4.793
Au 4.793 4.793 2.876
Au 2.876 2.876 2.876
```

Values from the calculation:
**E_form**: 241 meV/atom
**V**: 18.80 A^3/atom
**Crystal system**: cubic



(2)
Zn6Pt5Au: optimized geometry, GGA-PBE.

extended XYZ file:
```
12
Lattice="3.875 -0.021 1.291 0.035 7.129 0.012 0.003 -0.011 6.451" Properties=species:S:1:pos:R:3 pbc="T T T"
Zn 0.685 5.307 4.491
Zn 1.964 5.288 0.655
Zn 1.947 1.819 0.649
Pt 0.018 3.564 0.006
Pt 1.314 3.554 2.577
Au 0.000 0.000 0.000
Zn 3.246 5.297 3.269
Pt 2.600 3.543 5.177
Pt 1.294 -0.011 2.577
Zn 3.228 1.790 3.263
Zn 0.668 1.800 4.485
Pt 2.584 -0.021 5.166
```

Values from the calculation:
**E_form**: -509 meV/atom
**V**: 14.85 A^3/atom
**Crystal system**: orthorhombic